Entry 1:
Entry from the Alexandria database: an optimized crystal structure of CuHgSb3 (GGA-PBE).

Cell: 5.149 5.149 5.149 Å, 90.00 90.00 90.00°
Space group Pm-3m (No. 221)
Symmetry-distinct sites (fractional):
Cu 0.000 0.000 0.000 [1 per cell]
Hg 0.500 0.500 0.500 [1 per cell]
Sb 0.000 0.000 0.500 [3 per cell]

Values from the calculation:
Polymorph energy (0 for the lowest one) in meV/atom: 0



Entry 2:
Entry from the Alexandria database: an optimized crystal structure of CuHgSb (GGA-PBE).

Cell: 4.499 4.499 6.628 Å, 90.00 90.00 90.00°
Space group P4_2/mmc (No. 131)
Symmetry-distinct sites (fractional):
Cu 0.000 0.500 0.000 [2 per cell]
Hg 0.000 0.000 0.250 [2 per cell]
Sb 0.500 0.500 0.250 [2 per cell]



Number 1: ΔE_f (raw) 0.45 eV per atom, VASP energy -0.107 hartree per atom. Number 2: ΔE_f (raw) 0.12 eV per atom, VASP energy -0.100 hartree per atom.